# PmCoTe, optimized geometry, DFT GGA-PBE
# Total moment, Bohr magnetons per cell: 1.947
# Formation energy (no corrections), eV/atom: -0.187
# Energy above the lowest structure with this stoichiometry, eV per atom: 0.5223
# Volume, Å³ per atom: 24.16
data_PmCoTe
_chemical_formula_sum 'Pm2 Co2 Te2'
_cell_length_a 4.030
_cell_length_b 4.030
_cell_length_c 8.925
_cell_angle_alpha 90.00
_cell_angle_beta 90.00
_cell_angle_gamma 90.00
_space_group_name_H-M_alt 'I 4 m m'
_space_group_IT_number 107
_space_group_name_Hall 'I 4 -2'
loop_
_atom_site_label
_atom_site_type_symbol
_atom_site_fract_x
_atom_site_fract_y
_atom_site_fract_z
Pm1 Pm 0.000 0.000 0.000
Co1 Co 0.000 0.000 0.370
Te1 Te 0.000 0.000 0.657